Density functional theory data (PBE) for a relaxed structure of Rb5Sn3F12.

## Properties
DFT total energy   -4.375 eV per atom
ΔE_f (raw)   -2.41 eV per atom
Crystal system   cubic
Calculated volume   4102.9 Å³/cell
Size of the total moment   0.67 μB/f.u.
N(E_F)   0.5768 states/eV per atom

CIF file:
```
data_Rb5Sn3F12
_cell_length_a 16.009
_cell_length_b 16.009
_cell_length_c 16.009
_cell_angle_alpha 90.00
_cell_angle_beta 90.00
_cell_angle_gamma 90.00
_space_group_name_H-M_alt 'I a -3 d'
_space_group_IT_number 230
_space_group_name_Hall '-I 4bd 2c 3'
loop_
_atom_site_label
_atom_site_type_symbol
_atom_site_fract_x
_atom_site_fract_y
_atom_site_fract_z
_atom_site_occupancy
Rb1 Rb 0.000 0.000 0.000 1
Rb2 Rb 0.000 0.250 0.375 1
Sn1 Sn 0.000 0.250 0.125 1
F1 F 0.029 0.043 0.335 1
```


Density functional theory data (PBE) for a relaxed structure of Os3Pt.

## Properties
DFT total energy   -9.804 eV per atom
Formation enthalpy at 0 K   3.0 kcal/mol of atoms
Crystal system   trigonal
Calculated volume   176.2 Å³/cell
Size of the total moment   0.00 μB/f.u.
N(E_F)   0.9621 states/eV per atom

CIF file:
```
data_Os3Pt
_cell_length_a 2.7402
_cell_length_b 2.7402
_cell_length_c 27.0983
_cell_angle_alpha 90.00
_cell_angle_beta 90.00
_cell_angle_gamma 120.00
_space_group_name_H-M_alt 'R -3 m'
_space_group_IT_number 166
_space_group_name_Hall '-R 3 2"'
loop_
_atom_site_label
_atom_site_type_symbol
_atom_site_fract_x
_atom_site_fract_y
_atom_site_fract_z
_atom_site_occupancy
Os1 Os 0.0000 0.0000 0.0000 1
Os2 Os 0.0000 0.0000 0.2536 1
Pt1 Pt 0.0000 0.0000 0.5000 1
```


Density functional theory data (PBE) for a relaxed structure of Sr2In2Bi.

## Properties
DFT total energy   -2.970 eV per atom
Formation enthalpy at 0 K   -9.8 kcal/mol of atoms
Crystal system   tetragonal
Energy relative to the lowest polymorph listed for this composition   39 meV/atom
Calculated volume   357.4 Å³/cell
Size of the total moment   0.00 μB/f.u.
N(E_F)   0.7498 states/eV per atom

CIF file:
```
data_Sr2In2Bi
_cell_length_a 4.231
_cell_length_b 4.231
_cell_length_c 19.971
_cell_angle_alpha 90.00
_cell_angle_beta 90.00
_cell_angle_gamma 90.00
_space_group_name_H-M_alt 'I 4/m m m'
_space_group_IT_number 139
_space_group_name_Hall '-I 4 2'
loop_
_atom_site_label
_atom_site_type_symbol
_atom_site_fract_x
_atom_site_fract_y
_atom_site_fract_z
_atom_site_occupancy
Sr1 Sr 0.000 0.000 0.098 1
In1 In 0.000 0.500 0.250 1
Bi1 Bi 0.000 0.000 0.500 1
```


Density functional theory data (PBE) for a relaxed structure of Li23Zn6.

## Properties
DFT total energy   -1.792 eV per atom
Formation enthalpy at 0 K   -0.2 kcal/mol of atoms
Crystal system   cubic
Calculated volume   2282.5 Å³/cell
Size of the total moment   0.00 μB/f.u.
N(E_F)   0.3460 states/eV per atom

CIF file:
```
data_Li23Zn6
_cell_length_a 13.167
_cell_length_b 13.167
_cell_length_c 13.167
_cell_angle_alpha 90.00
_cell_angle_beta 90.00
_cell_angle_gamma 90.00
_space_group_name_H-M_alt 'F m -3 m'
_space_group_IT_number 225
_space_group_name_Hall '-F 4 2 3'
loop_
_atom_site_label
_atom_site_type_symbol
_atom_site_fract_x
_atom_site_fract_y
_atom_site_fract_z
_atom_site_occupancy
Li1 Li 0.000 0.000 0.000 1
Li2 Li 0.000 0.174 0.174 1
Li3 Li 0.121 0.121 0.379 1
Li4 Li 0.250 0.250 0.250 1
Zn1 Zn 0.000 0.000 0.272 1
```


Density functional theory data (PBE) for a relaxed structure of CaSi3Mo.

## Properties
DFT total energy   -5.749 eV per atom
ΔE_f (raw)   0.07 eV per atom
Crystal system   cubic
Energy relative to the lowest polymorph listed for this composition   0 meV/atom
Calculated volume   107.7 Å³/cell
Size of the total moment   0.00 μB/f.u.
N(E_F)   0.4649 states/eV per atom

CIF file:
```
data_CaSi3Mo
_cell_length_a 4.758
_cell_length_b 4.758
_cell_length_c 4.758
_cell_angle_alpha 90.00
_cell_angle_beta 90.00
_cell_angle_gamma 90.00
_space_group_name_H-M_alt 'P m -3 m'
_space_group_IT_number 221
_space_group_name_Hall '-P 4 2 3'
loop_
_atom_site_label
_atom_site_type_symbol
_atom_site_fract_x
_atom_site_fract_y
_atom_site_fract_z
_atom_site_occupancy
Ca1 Ca 0.000 0.000 0.000 1
Si1 Si 0.000 0.500 0.500 1
Mo1 Mo 0.500 0.500 0.500 1
```


Density functional theory data (PBE) for a relaxed structure of Li2YBr.

## Properties
DFT total energy   -3.431 eV per atom
ΔE_f (raw)   -0.44 eV per atom
Crystal system   orthorhombic
Energy relative to the lowest polymorph listed for this composition   95 meV/atom
Calculated volume   199.0 Å³/cell
Size of the total moment   0.00 μB/f.u.
N(E_F)   0.4334 states/eV per atom

CIF file:
```
data_Li2YBr
_cell_length_a 3.922
_cell_length_b 5.850
_cell_length_c 8.673
_cell_angle_alpha 90.00
_cell_angle_beta 90.00
_cell_angle_gamma 90.00
_space_group_name_H-M_alt 'C m m 2'
_space_group_IT_number 35
_space_group_name_Hall 'C 2 -2'
loop_
_atom_site_label
_atom_site_type_symbol
_atom_site_fract_x
_atom_site_fract_y
_atom_site_fract_z
_atom_site_occupancy
Li1 Li 0.000 0.000 0.000 1
Li2 Li 0.000 0.500 0.250 1
Y1 Y 0.000 0.000 0.524 1
Br1 Br 0.000 0.500 0.799 1
```


Density functional theory data (PBE) for a relaxed structure of Er4Hg2C.

## Properties
DFT total energy   -4.322 eV per atom
Formation enthalpy at 0 K   -7.2 kcal/mol of atoms
Crystal system   orthorhombic
Energy relative to the lowest polymorph listed for this composition   50 meV/atom
Calculated volume   354.4 Å³/cell
Size of the total moment   0.93 μB/f.u.
N(E_F)   0.9122 states/eV per atom

CIF file:
```
data_Er4Hg2C
_cell_length_a 7.552
_cell_length_b 12.676
_cell_length_c 3.702
_cell_angle_alpha 90.00
_cell_angle_beta 90.00
_cell_angle_gamma 90.00
_space_group_name_H-M_alt 'P b a m'
_space_group_IT_number 55
_space_group_name_Hall '-P 2 2ab'
loop_
_atom_site_label
_atom_site_type_symbol
_atom_site_fract_x
_atom_site_fract_y
_atom_site_fract_z
_atom_site_occupancy
Er1 Er 0.118 0.179 0.000 1
Er2 Er 0.207 0.952 0.500 1
Hg1 Hg 0.069 0.665 0.500 1
C1 C 0.000 0.000 0.000 1
```


Density functional theory data (PBE) for a relaxed structure of Ac7In2Ga2.

## Properties
DFT total energy   -3.733 eV per atom
Formation enthalpy at 0 K   -1.6 kcal/mol of atoms
Crystal system   orthorhombic
Calculated volume   849.7 Å³/cell
Size of the total moment   0.00 μB/f.u.
N(E_F)   1.3209 states/eV per atom

CIF file:
```
data_Ac7In2Ga2
_cell_length_a 8.195
_cell_length_b 12.046
_cell_length_c 8.608
_cell_angle_alpha 90.00
_cell_angle_beta 90.00
_cell_angle_gamma 90.00
_space_group_name_H-M_alt 'C m m m'
_space_group_IT_number 65
_space_group_name_Hall '-C 2 2'
loop_
_atom_site_label
_atom_site_type_symbol
_atom_site_fract_x
_atom_site_fract_y
_atom_site_fract_z
_atom_site_occupancy
Ac1 Ac 0.000 0.000 0.000 1
Ac2 Ac 0.000 0.500 0.277 1
Ac3 Ac 0.250 0.250 0.296 1
In1 In 0.000 0.299 0.000 1
Ga1 Ga 0.158 0.000 0.500 1
```


Density functional theory data (PBE) for a relaxed structure of CeMgZr.

## Properties
DFT total energy   -5.279 eV per atom
Formation enthalpy at 0 K   1.8 kcal/mol of atoms
Crystal system   trigonal
Energy relative to the lowest polymorph listed for this composition   48 meV/atom
Calculated volume   73.1 Å³/cell
Size of the total moment   0.01 μB/f.u.
N(E_F)   1.6409 states/eV per atom

CIF file:
```
data_CeMgZr
_cell_length_a 3.1363
_cell_length_b 3.1363
_cell_length_c 8.5798
_cell_angle_alpha 90.00
_cell_angle_beta 90.00
_cell_angle_gamma 120.00
_space_group_name_H-M_alt 'P 3 m 1'
_space_group_IT_number 156
_space_group_name_Hall 'P 3 -2"'
loop_
_atom_site_label
_atom_site_type_symbol
_atom_site_fract_x
_atom_site_fract_y
_atom_site_fract_z
_atom_site_occupancy
Ce1 Ce 0.0000 0.0000 0.0000 1
Mg1 Mg 0.6667 0.3333 0.3516 1
Zr1 Zr 0.3333 0.6667 0.6668 1
```


Density functional theory data (PBE) for a relaxed structure of RbZnHg.

## Properties
DFT total energy   -0.917 eV per atom
Formation enthalpy at 0 K   -1.6 kcal/mol of atoms
Crystal system   monoclinic
Energy relative to the lowest polymorph listed for this composition   0 meV/atom
Calculated volume   432.4 Å³/cell
Size of the total moment   0.00 μB/f.u.
N(E_F)   0.4419 states/eV per atom

CIF file:
```
data_RbZnHg
_cell_length_a 7.308
_cell_length_b 7.885
_cell_length_c 8.541
_cell_angle_alpha 90.00
_cell_angle_beta 118.52
_cell_angle_gamma 90.00
_space_group_name_H-M_alt 'P 1 21/c 1'
_space_group_IT_number 14
_space_group_name_Hall '-P 2ybc'
loop_
_atom_site_label
_atom_site_type_symbol
_atom_site_fract_x
_atom_site_fract_y
_atom_site_fract_z
_atom_site_occupancy
Rb1 Rb 0.182 0.130 0.369 1
Zn1 Zn 0.393 0.561 0.335 1
Hg1 Hg 0.301 0.686 0.594 1
```


Density functional theory data (PBE) for a relaxed structure of K2NaBi.

## Properties
DFT total energy   -2.011 eV per atom
Formation enthalpy at 0 K   -3.7 kcal/mol of atoms
Crystal system   tetragonal
Calculated volume   161.5 Å³/cell
Size of the total moment   0.00 μB/f.u.
N(E_F)   0.4131 states/eV per atom

CIF file:
```
data_K2NaBi
_cell_length_a 6.236
_cell_length_b 6.236
_cell_length_c 4.152
_cell_angle_alpha 90.00
_cell_angle_beta 90.00
_cell_angle_gamma 90.00
_space_group_name_H-M_alt 'P 4/m m m'
_space_group_IT_number 123
_space_group_name_Hall '-P 4 2'
loop_
_atom_site_label
_atom_site_type_symbol
_atom_site_fract_x
_atom_site_fract_y
_atom_site_fract_z
_atom_site_occupancy
K1 K 0.000 0.500 0.000 1
Na1 Na 0.000 0.000 0.500 1
Bi1 Bi 0.500 0.500 0.500 1
```


Density functional theory data (PBE) for a relaxed structure of Tl5HgCl5.

## Properties
DFT total energy   -2.759 eV per atom
ΔE_f (raw)   -0.82 eV per atom
Crystal system   monoclinic
Calculated volume   782.8 Å³/cell
Size of the total moment   0.00 μB/f.u.

CIF file:
```
data_Tl5HgCl5
_cell_length_a 12.298
_cell_length_b 6.454
_cell_length_c 10.346
_cell_angle_alpha 90.00
_cell_angle_beta 107.56
_cell_angle_gamma 90.00
_space_group_name_H-M_alt 'C 1 2/m 1'
_space_group_IT_number 12
_space_group_name_Hall '-C 2y'
loop_
_atom_site_label
_atom_site_type_symbol
_atom_site_fract_x
_atom_site_fract_y
_atom_site_fract_z
_atom_site_occupancy
Tl1 Tl 0.000 0.000 0.000 1
Tl2 Tl 0.131 0.500 0.817 1
Tl3 Tl 0.214 0.500 0.378 1
Hg1 Hg 0.000 0.000 0.500 1
Cl1 Cl 0.000 0.500 0.500 1
Cl2 Cl 0.177 0.000 0.288 1
Cl3 Cl 0.203 0.000 0.877 1
```


Look up the DFT total energy of the first one.
-4.375 eV per atom